Density functional theory data (PBE-GGA) for a relaxed structure of CuTc2Se.

Uncorrected formation energy, kcal/mol of atoms: 11.50
Spin magnetization, μB/f.u.: 0.0
Calculated density, Mg/m³: 8.79
DOS at the Fermi energy, states/eV per cell: 9.13

Lattice parameters (Å, degrees): 3.7223 3.7223 18.4649 90.00 90.00 90.00
Closest atoms and distances in Å follow each position.
Space group I-42d (No. 122)
One atom of each set of equivalent atoms:
Cu: 0.0000 0.0000 0.0000 [4 per cell]  4 Tc 2.60, 4 Se 2.63
Tc: 0.2037 0.2500 0.1250 [8 per cell]  2 Tc 2.40, 2 Cu 2.60
Se: 0.0000 0.0000 0.5000 [4 per cell]  4 Cu 2.63, 4 Tc 2.72